(1)
The following is a PBE calculation of a relaxed structure of MgAlZnOs, from Alexandria via LeMat-Bulk.

Results
As for the uncorrected energy: -4.524 eV/atom. As for the magnetization: 0.00 μB/f.u.

Unit cell a=4.3953 b=4.3953 c=4.3953 alpha=60.00 beta=60.00 gamma=60.00
With the nearest neighbours (Å) after each atom.
Atoms (fractional coordinates):
Mg1 0.0000 0.0000 0.0000  4 Al 2.69, 4 Zn 2.69
Al1 0.2500 0.2500 0.2500  4 Mg 2.69, 4 Os 2.69
Zn1 0.7500 0.7500 0.7500  4 Os 2.69, 4 Mg 2.69
Os1 0.5000 0.5000 0.5000  4 Al 2.69, 4 Zn 2.69

(2)
The following is a PBE calculation of a relaxed structure of Pm2SmHg6, from Alexandria via LeMat-Bulk.

Results
Its relative energy among the computed polymorphs is 1.158 kcal/mol of atoms. As for the uncorrected energy: -2.155 eV/atom. As for the magnetization: 0.03 μB/f.u.

Unit cell a=8.9977 b=8.9977 c=8.9977 alpha=157.06 beta=123.18 gamma=62.09
With the nearest neighbours (Å) after each atom.
Atoms (fractional coordinates):
Pm1 0.1485 0.1485 0.0000  10 Hg 3.16-3.34
Pm2 0.8515 0.8515 0.0000  10 Hg 3.16-3.34
Sm1 0.5000 0.0000 0.5000  12 Hg 3.31-3.51, 2 Sm 3.58
Hg1 0.1568 0.3294 0.8273  2 Hg 2.94-2.96, 1 Pm 3.16
Hg2 0.1747 0.5000 0.6747  3 Hg 2.94-2.99, 4 Pm 3.27
Hg3 0.4979 0.6706 0.8273  2 Hg 2.94-2.96, 1 Pm 3.16
Hg4 0.5021 0.3294 0.1727  2 Hg 2.94-2.96, 1 Pm 3.16
Hg5 0.8253 0.5000 0.3253  3 Hg 2.94-2.99, 4 Pm 3.27
Hg6 0.8432 0.6706 0.1727  2 Hg 2.94-2.96, 1 Pm 3.16

(3)
The following is a PBE calculation of a relaxed structure of RbPaTe4Rh, from Alexandria via LeMat-Bulk.

Results
Its uncorrected formation energy is -0.66 eV/atom. As for the uncorrected energy: -5.002 eV/atom. As for the magnetization: 0.00 μB/f.u.

Unit cell a=7.5047 b=6.3044 c=10.1714 alpha=90.00 beta=106.49 gamma=90.00
With the nearest neighbours (Å) after each atom.
Atoms (fractional coordinates):
Rb1 0.2194 0.2500 0.0505  8 Te 3.66-3.84
Rb2 0.7806 0.7500 0.9495  8 Te 3.66-3.84
Pa1 0.2752 0.2500 0.5524  8 Te 2.99-3.35, 1 Rh 3.28
Pa2 0.7248 0.7500 0.4476  8 Te 2.99-3.35, 1 Rh 3.28
Te1 0.0167 0.5023 0.6966  1 Rh 2.60
Te2 0.0167 0.9977 0.6966  1 Rh 2.60
Te3 0.4284 0.7500 0.6041  1 Rh 2.57
Te4 0.4602 0.7500 0.1652  1 Rh 2.63
Te5 0.5398 0.2500 0.8348  1 Rh 2.63
Te6 0.5716 0.2500 0.3959  1 Rh 2.57
Te7 0.9833 0.0023 0.3034  1 Rh 2.60
Te8 0.9833 0.4977 0.3034  1 Rh 2.60
Rh1 0.2685 0.7500 0.3447  4 Te 2.57-2.63
Rh2 0.7315 0.2500 0.6553  4 Te 2.57-2.63

(4)
The following is a PBE calculation of a relaxed structure of CuIr, from Alexandria via LeMat-Bulk.

Results
As for the uncorrected energy: -5.617 eV/atom. As for the magnetization: 0.00 μB/f.u.

Unit cell a=3.8737 b=3.8737 c=4.5791 alpha=90.00 beta=90.00 gamma=120.00
With the nearest neighbours (Å) after each atom.
Atoms (fractional coordinates):
Cu1 0.0000 0.0000 0.0000  2 Cu 2.29, 6 Ir 2.51
Cu2 0.0000 0.0000 0.5000  2 Cu 2.29, 6 Ir 2.51
Ir1 0.3333 0.6667 0.2500  6 Cu 2.51
Ir2 0.6667 0.3333 0.7500  6 Cu 2.51